1.
PBE Pm4HgTe2Se, optimized geometry; DFT total energy = -39.370 eV per formula unit; E_form (uncorrected) = -1287 meV/atom; theoretical density = 7.72 Mg/m³
1.0
4.2988 0.0000 0.0000
0.0000 7.6475 0.1924
0.0000 -2.6153 7.2318
Pm Hg Se Te
4 1 1 2
Cartesian
0.0000 -0.0642 5.5526
0.0000 5.0964 1.8717
2.1494 1.2267 1.7164
2.1494 3.8054 5.7079
2.1494 3.8237 0.0962
0.0000 0.0000 0.0000
0.0000 2.5161 3.7121
2.1494 -1.3077 3.6159

=====

2.
PBE Pm4HgTeSe2, optimized geometry; DFT total energy = -40.463 eV per formula unit; E_form (uncorrected) = -1381 meV/atom; theoretical density = 7.76 Mg/m³
1.0
4.2224 0.0000 0.0000
0.0000 7.5806 -0.2488
0.0000 2.5739 7.0407
Hg Pm Te Se
1 4 1 2
Cartesian
0.0000 5.0772 3.3960
0.0001 7.7305 5.0070
2.1113 6.4265 1.5472
2.1112 3.7280 5.2447
4.2224 2.4240 1.7850
2.1112 3.7903 -0.1244
0.0000 2.5739 7.0407
2.1112 1.2869 3.5204

=====

3.
PBE PmTlHgSe3, optimized geometry; DFT total energy = -23.483 eV per formula unit; E_form (uncorrected) = -935 meV/atom; theoretical density = 6.89 Mg/m³
1.0
4.3391 0.0000 0.0000
0.0000 8.9652 -0.1563
0.0000 -2.5380 9.7942
Se Tl Pm Hg
6 2 2 2
Cartesian
1.0848 5.7133 4.4145
3.2543 3.7018 1.4435
3.2543 7.7475 1.0446
1.0848 -1.3203 8.5933
1.0848 2.7254 8.1944
3.2543 0.7139 5.2234
3.2543 5.0761 7.5130
1.0848 1.3511 2.1249
1.0848 5.7009 1.2764
3.2543 0.7262 8.3615
1.0848 -0.7297 5.9944
3.2543 7.1568 3.6435

=====

What did the first record say?
PBE Pm4HgTe2Se, optimized geometry; DFT total energy = -39.370 eV per formula unit; E_form (uncorrected) = -1287 meV/atom; theoretical density = 7.72 Mg/m³
1.0
4.2988 0.0000 0.0000
0.0000 7.6475 0.1924
0.0000 -2.6153 7.2318
Pm Hg Se Te
4 1 1 2
Cartesian
0.0000 -0.0642 5.5526
0.0000 5.0964 1.8717
2.1494 1.2267 1.7164
2.1494 3.8054 5.7079
2.1494 3.8237 0.0962
0.0000 0.0000 0.0000
0.0000 2.5161 3.7121
2.1494 -1.3077 3.6159

=====

What is the theoretical density in the first record? 7.72 Mg/m³

=====

Repeat the third record exactly.
PBE PmTlHgSe3, optimized geometry; DFT total energy = -23.483 eV per formula unit; E_form (uncorrected) = -935 meV/atom; theoretical density = 6.89 Mg/m³
1.0
4.3391 0.0000 0.0000
0.0000 8.9652 -0.1563
0.0000 -2.5380 9.7942
Se Tl Pm Hg
6 2 2 2
Cartesian
1.0848 5.7133 4.4145
3.2543 3.7018 1.4435
3.2543 7.7475 1.0446
1.0848 -1.3203 8.5933
1.0848 2.7254 8.1944
3.2543 0.7139 5.2234
3.2543 5.0761 7.5130
1.0848 1.3511 2.1249
1.0848 5.7009 1.2764
3.2543 0.7262 8.3615
1.0848 -0.7297 5.9944
3.2543 7.1568 3.6435